The following is a DFT calculation (GGA-PBE) of Pr5Sc3H12 after structural relaxation.

Properties
The calculation puts the total energy at -4.51 eV/atom. For the density, the calculation gives 4.87 Mg/m³.

a = 11.472 Å, b = 11.472 Å, c = 11.472 Å
α = 109.47°, β = 109.47°, γ = 109.47°
Fractional positions:
1 Pr 0.000 0.000 0.000
2 Pr 0.000 0.000 0.500
3 Pr 0.000 0.500 0.000
4 Pr 0.000 0.500 0.500
5 Pr 0.125 0.750 0.875
6 Pr 0.125 0.875 0.250
7 Pr 0.250 0.125 0.875
8 Pr 0.250 0.625 0.375
9 Pr 0.375 0.250 0.625
10 Pr 0.375 0.625 0.750
11 Pr 0.500 0.000 0.000
12 Pr 0.500 0.000 0.500
13 Pr 0.500 0.500 0.000
14 Pr 0.500 0.500 0.500
15 Pr 0.625 0.375 0.250
16 Pr 0.625 0.750 0.375
17 Pr 0.750 0.375 0.625
18 Pr 0.750 0.875 0.125
19 Pr 0.875 0.125 0.750
20 Pr 0.875 0.250 0.125
21 Sc 0.125 0.250 0.375
22 Sc 0.125 0.375 0.750
23 Sc 0.250 0.375 0.125
24 Sc 0.250 0.875 0.625
25 Sc 0.375 0.125 0.250
26 Sc 0.375 0.750 0.125
27 Sc 0.625 0.250 0.875
28 Sc 0.625 0.875 0.750
29 Sc 0.750 0.125 0.375
30 Sc 0.750 0.625 0.875
31 Sc 0.875 0.625 0.250
32 Sc 0.875 0.750 0.625
33 H 0.053 0.727 0.653
34 H 0.053 0.826 0.400
35 H 0.073 0.227 0.174
36 H 0.073 0.347 0.900
37 H 0.100 0.674 0.447
38 H 0.100 0.927 0.653
39 H 0.153 0.227 0.553
40 H 0.153 0.427 0.600
41 H 0.174 0.073 0.227
42 H 0.174 0.600 0.947
43 H 0.227 0.174 0.073
44 H 0.227 0.553 0.153
45 H 0.273 0.347 0.947
46 H 0.273 0.427 0.326
47 H 0.326 0.273 0.427
48 H 0.326 0.553 0.900
49 H 0.347 0.900 0.073
50 H 0.347 0.947 0.273
51 H 0.400 0.053 0.826
52 H 0.400 0.847 0.573
53 H 0.427 0.326 0.273
54 H 0.427 0.600 0.153
55 H 0.447 0.100 0.674
56 H 0.447 0.847 0.773
57 H 0.553 0.153 0.227
58 H 0.553 0.900 0.326
59 H 0.573 0.400 0.847
60 H 0.573 0.674 0.727
61 H 0.600 0.153 0.427
62 H 0.600 0.947 0.174
63 H 0.653 0.053 0.727
64 H 0.653 0.100 0.927
65 H 0.674 0.447 0.100
66 H 0.674 0.727 0.573
67 H 0.727 0.573 0.674
68 H 0.727 0.653 0.053
69 H 0.773 0.447 0.847
70 H 0.773 0.826 0.927
71 H 0.826 0.400 0.053
72 H 0.826 0.927 0.773
73 H 0.847 0.573 0.400
74 H 0.847 0.773 0.447
75 H 0.900 0.073 0.347
76 H 0.900 0.326 0.553
77 H 0.927 0.653 0.100
78 H 0.927 0.773 0.826
79 H 0.947 0.174 0.600
80 H 0.947 0.273 0.347

***

The following is a DFT calculation (GGA-PBE) of HfAg2S3 after structural relaxation.

Properties
As for the uncorrected formation energy: -0.783 eV per atom. The offset from the most stable computed form comes out at 0.0 meV/atom. For the density, the calculation gives 6.60 Mg/m³.

a = 6.681 Å, b = 6.681 Å, c = 12.756 Å
α = 90.00°, β = 90.00°, γ = 60.12°
Fractional positions:
1 Hf 0.163 0.163 0.000
2 Hf 0.337 0.337 0.500
3 Hf 0.663 0.663 0.500
4 Hf 0.837 0.837 0.000
5 Ag 0.025 0.975 0.682
6 Ag 0.148 0.352 0.250
7 Ag 0.352 0.148 0.750
8 Ag 0.475 0.525 0.182
9 Ag 0.525 0.475 0.818
10 Ag 0.648 0.852 0.250
11 Ag 0.852 0.648 0.750
12 Ag 0.975 0.025 0.318
13 S 0.002 0.346 0.603
14 S 0.112 0.888 0.123
15 S 0.154 0.498 0.897
16 S 0.346 0.002 0.397
17 S 0.388 0.612 0.623
18 S 0.498 0.154 0.103
19 S 0.502 0.846 0.897
20 S 0.612 0.388 0.377
21 S 0.654 0.998 0.603
22 S 0.846 0.502 0.103
23 S 0.888 0.112 0.877
24 S 0.998 0.654 0.397

***

The following is a DFT calculation (GGA-PBE) of BiSI3 after structural relaxation.

Properties
As for the uncorrected formation energy: 0.420 eV per atom. The offset from the most stable computed form comes out at 46.7 meV/atom. For the density, the calculation gives 6.05 Mg/m³.

a = 5.548 Å, b = 5.548 Å, c = 5.548 Å
α = 90.00°, β = 90.00°, γ = 90.00°
Fractional positions:
1 Bi 0.000 0.000 0.000
2 S 0.500 0.500 0.500
3 I 0.000 0.500 0.500
4 I 0.500 0.000 0.500
5 I 0.500 0.500 0.000

***

The following is a DFT calculation (GGA-PBE) of NaTlZnAu after structural relaxation.

Properties
As for the formation energy: -0.33 eV/f.u. For the density, the calculation gives 9.65 Mg/m³.

a = 4.922 Å, b = 4.922 Å, c = 4.922 Å
α = 60.00°, β = 60.00°, γ = 60.00°
Fractional positions:
1 Na 0.000 0.000 0.000
2 Tl 0.750 0.750 0.750
3 Zn 0.500 0.500 0.500
4 Au 0.250 0.250 0.250

***

The following is a DFT calculation (GGA-PBE) of CsCaAsP2 after structural relaxation.

Properties
As for the formation energy: 2.39 eV/f.u. For the density, the calculation gives 3.49 Mg/m³.

a = 5.048 Å, b = 5.048 Å, c = 5.780 Å
α = 90.00°, β = 90.00°, γ = 90.00°
Fractional positions:
1 Cs 0.000 0.000 0.000
2 Ca 0.500 0.500 0.000
3 As 0.000 0.000 0.500
4 P 0.000 0.500 0.500
5 P 0.500 0.000 0.500

***

The following is a DFT calculation (GGA-PBE) of NdAgS2 after structural relaxation.

Properties
As for the uncorrected formation energy: -1.299 eV per atom. For the density, the calculation gives 5.27 Mg/m³.

a = 14.003 Å, b = 4.242 Å, c = 6.706 Å
α = 90.00°, β = 90.00°, γ = 90.00°
Fractional positions:
1 Nd 0.136 0.250 0.007
2 Nd 0.364 0.750 0.507
3 Nd 0.636 0.250 0.493
4 Nd 0.864 0.750 0.993
5 Ag 0.061 0.750 0.604
6 Ag 0.439 0.250 0.104
7 Ag 0.561 0.750 0.896
8 Ag 0.939 0.250 0.396
9 S 0.038 0.750 0.224
10 S 0.216 0.750 0.794
11 S 0.284 0.250 0.294
12 S 0.462 0.250 0.724
13 S 0.538 0.750 0.276
14 S 0.716 0.750 0.706
15 S 0.784 0.250 0.206
16 S 0.962 0.250 0.776

***

The following is a DFT calculation (GGA-PBE) of Pr3Nd2Sc after structural relaxation.

Properties
As for the formation energy: 0.23 eV/f.u. The offset from the most stable computed form comes out at 0.0 meV/atom. For the density, the calculation gives 6.21 Mg/m³.

a = 6.269 Å, b = 8.109 Å, c = 8.893 Å
α = 111.41°, β = 90.13°, γ = 104.77°
Fractional positions:
1 Pr 0.039 0.361 0.283
2 Pr 0.292 0.625 0.042
3 Pr 0.374 0.374 0.627
4 Pr 0.626 0.626 0.373
5 Pr 0.708 0.375 0.958
6 Pr 0.961 0.639 0.717
7 Nd 0.204 0.880 0.461
8 Nd 0.449 0.115 0.202
9 Nd 0.551 0.885 0.798
10 Nd 0.796 0.120 0.539
11 Sc 0.123 0.123 0.878
12 Sc 0.877 0.877 0.122

***

The following is a DFT calculation (GGA-PBE) of CaSBrCl2 after structural relaxation.

Properties
As for the uncorrected formation energy: -0.368 eV per atom. The offset from the most stable computed form comes out at 246.1 meV/atom. For the density, the calculation gives 2.66 Mg/m³.

a = 5.037 Å, b = 5.037 Å, c = 5.482 Å
α = 90.00°, β = 90.00°, γ = 90.00°
Fractional positions:
1 Ca 0.000 0.000 0.000
2 S 0.500 0.500 0.000
3 Br 0.500 0.500 0.500
4 Cl 0.000 0.500 0.500
5 Cl 0.500 0.000 0.500

***

The following is a DFT calculation (GGA-PBE) of InCuAs2 after structural relaxation.

Properties
As for the formation energy: 0.82 eV/f.u. For the density, the calculation gives 6.85 Mg/m³.

a = 9.305 Å, b = 9.305 Å, c = 9.305 Å
α = 19.63°, β = 19.63°, γ = 19.63°
Fractional positions:
1 In 0.000 0.000 0.000
2 Cu 0.500 0.500 0.500
3 As 0.232 0.232 0.232
4 As 0.768 0.768 0.768

***

The following is a DFT calculation (GGA-PBE) of NiPRu after structural relaxation.

Properties
As for the formation energy: -0.81 eV/f.u. For the density, the calculation gives 8.39 Mg/m³.

a = 3.810 Å, b = 3.810 Å, c = 3.005 Å
α = 90.00°, β = 90.00°, γ = 120.00°
Fractional positions:
1 Ni 0.000 0.000 0.000
2 P 0.667 0.333 0.233
3 Ru 0.333 0.667 0.481

***

The following is a DFT calculation (GGA-PBE) of NdSiS4 after structural relaxation.

Properties
As for the uncorrected formation energy: -1.035 eV per atom. For the density, the calculation gives 3.36 Mg/m³.

a = 5.762 Å, b = 9.076 Å, c = 5.763 Å
α = 90.00°, β = 99.90°, γ = 90.00°
Fractional positions:
1 Nd 0.131 0.250 0.134
2 Nd 0.869 0.750 0.866
3 Si 0.375 0.750 0.373
4 Si 0.625 0.250 0.627
5 S 0.193 0.568 0.191
6 S 0.193 0.932 0.191
7 S 0.263 0.250 0.652
8 S 0.350 0.750 0.734
9 S 0.650 0.250 0.266
10 S 0.737 0.750 0.348
11 S 0.807 0.068 0.809
12 S 0.807 0.432 0.809

***

The following is a DFT calculation (GGA-PBE) of AlRh after structural relaxation.

Properties
As for the formation energy: -1.73 eV/f.u. For the density, the calculation gives 7.61 Mg/m³.

a = 4.846 Å, b = 4.846 Å, c = 6.565 Å
α = 106.47°, β = 106.47°, γ = 35.27°
Fractional positions:
1 Al 0.000 0.000 0.000
2 Al 0.078 0.078 0.613
3 Al 0.739 0.739 0.354
4 Rh 0.364 0.364 0.679
5 Rh 0.449 0.449 0.282
6 Rh 0.709 0.709 0.951